Th4FeTe2Se | PBE | optimized geometry

a = 4.104 Å, b = 7.539 Å, c = 7.829 Å
α = 107.64°, β = 90.00°, γ = 90.00°
Fractional coordinates of all 8 atoms:
Te (0.000, 0.500, 0.500)
Te (0.500, 0.000, 0.500)
Th (0.000, 0.706, 0.198)
Th (0.500, 0.256, 0.215)
Th (0.500, 0.744, 0.785)
Th (0.000, 0.294, 0.802)
Fe (0.500, 0.500, 0.000)
Se (0.000, 0.000, 0.000)

**Formation energy from raw total energies**: -0.981 eV/atom
**ρ**: 9482 kg/m3